Record 1
# PBE TbTmInPd, optimized geometry
# **D(E_F)**: 14.2 states/eV/cell
# **Calculated formation energy**: -0.609 eV per atom
# **Crystal system**: cubic
data_TbTmInPd
_chemical_formula_sum 'Tb4 Tm4 In4 Pd4'
_space_group_name_H-M_alt 'F -4 3 m'
_space_group_IT_number 216
_space_group_name_Hall 'F -4 2 3'
_cell_length_a 7.2640
_cell_length_b 7.2640
_cell_length_c 7.2640
_cell_angle_alpha 90.00
_cell_angle_beta 90.00
_cell_angle_gamma 90.00
loop_
_atom_site_label
_atom_site_fract_x
_atom_site_fract_y
_atom_site_fract_z
_atom_site_occupancy
Tb1 0.0000 0.0000 0.0000 1
Tm1 0.0000 0.0000 0.5000 1
In1 0.2500 0.2500 0.2500 1
Pd1 0.2500 0.2500 0.7500 1

***

Record 2
# PBE RbZrHg2, optimized geometry
# **D(E_F)**: 13.5 states/eV/cell
# **Calculated formation energy**: 0.433 eV per atom
# **Crystal system**: tetragonal
data_RbZrHg2
_chemical_formula_sum 'Rb4 Zr4 Hg8'
_space_group_name_H-M_alt 'I -4 2 d'
_space_group_IT_number 122
_space_group_name_Hall 'I -4 2bw'
_cell_length_a 8.4567
_cell_length_b 8.4567
_cell_length_c 7.7412
_cell_angle_alpha 90.00
_cell_angle_beta 90.00
_cell_angle_gamma 90.00
loop_
_atom_site_label
_atom_site_fract_x
_atom_site_fract_y
_atom_site_fract_z
_atom_site_occupancy
Rb1 0.0000 0.0000 0.0000 1
Zr1 0.0000 0.0000 0.5000 1
Hg1 0.1926 0.7500 0.6250 1

***

Record 3
# PBE CdSiAgBr2, optimized geometry
# **D(E_F)**: 3.3 states/eV/cell
# **Crystal system**: tetragonal
# **Energy relative to the elements, uncorrected**: 194 meV per atom
data_CdSiAgBr2
_chemical_formula_sum 'Cd1 Si1 Ag1 Br2'
_space_group_name_H-M_alt 'P 4/m m m'
_space_group_IT_number 123
_space_group_name_Hall '-P 4 2'
_cell_length_a 5.2954
_cell_length_b 5.2954
_cell_length_c 5.1446
_cell_angle_alpha 90.00
_cell_angle_beta 90.00
_cell_angle_gamma 90.00
loop_
_atom_site_label
_atom_site_fract_x
_atom_site_fract_y
_atom_site_fract_z
_atom_site_occupancy
Cd1 0.0000 0.0000 0.0000 1
Si1 0.0000 0.0000 0.5000 1
Ag1 0.5000 0.5000 0.0000 1
Br1 0.0000 0.5000 0.5000 1

***

Record 4
# PBE Pa2CoTc, optimized geometry
# **D(E_F)**: 22.7 states/eV/cell
# **Calculated formation energy**: -0.113 eV per atom
# **Crystal system**: cubic
data_Pa2CoTc
_chemical_formula_sum 'Pa8 Co4 Tc4'
_space_group_name_H-M_alt 'F m -3 m'
_space_group_IT_number 225
_space_group_name_Hall '-F 4 2 3'
_cell_length_a 6.7620
_cell_length_b 6.7620
_cell_length_c 6.7620
_cell_angle_alpha 90.00
_cell_angle_beta 90.00
_cell_angle_gamma 90.00
loop_
_atom_site_label
_atom_site_fract_x
_atom_site_fract_y
_atom_site_fract_z
_atom_site_occupancy
Pa1 0.2500 0.2500 0.2500 1
Co1 0.0000 0.0000 0.0000 1
Tc1 0.0000 0.0000 0.5000 1

***

Record 5
# PBE InSn2Pb5, optimized geometry
# **D(E_F)**: 17.8 states/eV/cell
# **Calculated formation energy**: 0.065 eV per atom
# **Crystal system**: tetragonal
data_InSn2Pb5
_chemical_formula_sum 'In4 Sn8 Pb20'
_space_group_name_H-M_alt 'I 4/m c m'
_space_group_IT_number 140
_space_group_name_Hall '-I 4 2c'
_cell_length_a 8.6352
_cell_length_b 8.6352
_cell_length_c 13.1158
_cell_angle_alpha 90.00
_cell_angle_beta 90.00
_cell_angle_gamma 90.00
loop_
_atom_site_label
_atom_site_fract_x
_atom_site_fract_y
_atom_site_fract_z
_atom_site_occupancy
In1 0.0000 0.0000 0.2500 1
Sn1 0.1410 0.3590 0.0000 1
Pb1 0.0000 0.0000 0.0000 1
Pb2 0.1474 0.3526 0.3413 1

***

Record 6
# PBE YMg2Fe, optimized geometry
# **D(E_F)**: 39.5 states/eV/cell
# **Calculated formation energy**: 0.398 eV per atom
# **Crystal system**: cubic
data_YMg2Fe
_chemical_formula_sum 'Y4 Mg8 Fe4'
_space_group_name_H-M_alt 'F m -3 m'
_space_group_IT_number 225
_space_group_name_Hall '-F 4 2 3'
_cell_length_a 6.7928
_cell_length_b 6.7928
_cell_length_c 6.7928
_cell_angle_alpha 90.00
_cell_angle_beta 90.00
_cell_angle_gamma 90.00
loop_
_atom_site_label
_atom_site_fract_x
_atom_site_fract_y
_atom_site_fract_z
_atom_site_occupancy
Y1 0.0000 0.0000 0.0000 1
Mg1 0.2500 0.2500 0.2500 1
Fe1 0.0000 0.0000 0.5000 1

***

Record 7
# PBE CaZrIn2, optimized geometry
# **D(E_F)**: 1.9 states/eV/cell
# **Calculated formation energy**: -0.319 eV per atom
# **Crystal system**: orthorhombic
data_CaZrIn2
_chemical_formula_sum 'Ca1 Zr1 In2'
_space_group_name_H-M_alt 'P m m m'
_space_group_IT_number 47
_space_group_name_Hall '-P 2 2'
_cell_length_a 3.2640
_cell_length_b 4.2859
_cell_length_c 7.0736
_cell_angle_alpha 90.00
_cell_angle_beta 90.00
_cell_angle_gamma 90.00
loop_
_atom_site_label
_atom_site_fract_x
_atom_site_fract_y
_atom_site_fract_z
_atom_site_occupancy
Ca1 0.0000 0.0000 0.0000 1
Zr1 0.0000 0.0000 0.5000 1
In1 0.5000 0.5000 0.2706 1

***

Record 8
# PBE ZnCdCl, optimized geometry
# **D(E_F)**: 10.7 states/eV/cell
# **Crystal system**: cubic
# **Energy relative to the elements, uncorrected**: -24 meV per atom
data_ZnCdCl
_chemical_formula_sum 'Zn4 Cd4 Cl4'
_space_group_name_H-M_alt 'F -4 3 m'
_space_group_IT_number 216
_space_group_name_Hall 'F -4 2 3'
_cell_length_a 6.8282
_cell_length_b 6.8282
_cell_length_c 6.8282
_cell_angle_alpha 90.00
_cell_angle_beta 90.00
_cell_angle_gamma 90.00
loop_
_atom_site_label
_atom_site_fract_x
_atom_site_fract_y
_atom_site_fract_z
_atom_site_occupancy
Zn1 0.0000 0.0000 0.0000 1
Cd1 0.2500 0.2500 0.2500 1
Cl1 0.2500 0.2500 0.7500 1

***

Record 9
# PBE VFePd2, optimized geometry
# **D(E_F)**: 25.6 states/eV/cell
# **Calculated formation energy**: 0.020 eV per atom
# **Crystal system**: cubic
data_VFePd2
_chemical_formula_sum 'V4 Fe4 Pd8'
_space_group_name_H-M_alt 'F m -3 m'
_space_group_IT_number 225
_space_group_name_Hall '-F 4 2 3'
_cell_length_a 6.1492
_cell_length_b 6.1492
_cell_length_c 6.1492
_cell_angle_alpha 90.00
_cell_angle_beta 90.00
_cell_angle_gamma 90.00
loop_
_atom_site_label
_atom_site_fract_x
_atom_site_fract_y
_atom_site_fract_z
_atom_site_occupancy
V1 0.0000 0.0000 0.0000 1
Fe1 0.0000 0.0000 0.5000 1
Pd1 0.2500 0.2500 0.2500 1

***

Record 10
# PBE TaTcBiW2, optimized geometry
# **D(E_F)**: 7.7 states/eV/cell
# **Calculated formation energy**: 2.450 eV per atom
# **Crystal system**: tetragonal
data_TaTcBiW2
_chemical_formula_sum 'Ta1 Tc1 Bi1 W2'
_space_group_name_H-M_alt 'P 4/m m m'
_space_group_IT_number 123
_space_group_name_Hall '-P 4 2'
_cell_length_a 4.8109
_cell_length_b 4.8109
_cell_length_c 5.2688
_cell_angle_alpha 90.00
_cell_angle_beta 90.00
_cell_angle_gamma 90.00
loop_
_atom_site_label
_atom_site_fract_x
_atom_site_fract_y
_atom_site_fract_z
_atom_site_occupancy
Ta1 0.0000 0.0000 0.0000 1
Tc1 0.5000 0.5000 0.5000 1
Bi1 0.0000 0.0000 0.5000 1
W1 0.0000 0.5000 0.0000 1

***

Record 11
# PBE PuU4Os3, optimized geometry
# **D(E_F)**: 28.6 states/eV/cell
# **Calculated formation energy**: 0.353 eV per atom
# **Crystal system**: monoclinic
data_PuU4Os3
_chemical_formula_sum 'Pu2 U8 Os6'
_space_group_name_H-M_alt 'C 1 2/m 1'
_space_group_IT_number 12
_space_group_name_Hall '-C 2y'
_cell_length_a 22.9689
_cell_length_b 4.6654
_cell_length_c 2.7958
_cell_angle_alpha 90.00
_cell_angle_beta 90.69
_cell_angle_gamma 90.00
loop_
_atom_site_label
_atom_site_fract_x
_atom_site_fract_y
_atom_site_fract_z
_atom_site_occupancy
Pu1 0.0000 0.0000 0.0000 1
U1 0.1078 0.0000 0.5150 1
U2 0.1580 0.5000 0.5204 1
Os1 0.0000 0.5000 0.5000 1
Os2 0.2294 0.0000 0.2203 1

***

Record 12
# PBE AcC2O6F, optimized geometry
# **Crystal system**: monoclinic
# **Energy relative to the elements, uncorrected**: -1681 meV per atom
data_AcC2O6F
_chemical_formula_sum 'Ac4 C8 O24 F4'
_space_group_name_H-M_alt 'C 1 2/c 1'
_space_group_IT_number 15
_space_group_name_Hall '-C 2yc'
_cell_length_a 6.3651
_cell_length_b 12.4129
_cell_length_c 6.8529
_cell_angle_alpha 90.00
_cell_angle_beta 111.11
_cell_angle_gamma 90.00
loop_
_atom_site_label
_atom_site_fract_x
_atom_site_fract_y
_atom_site_fract_z
_atom_site_occupancy
Ac1 0.0000 0.1022 0.2500 1
C1 0.2113 0.3588 0.1609 1
O1 0.1038 0.2726 0.1098 1
O2 0.1792 0.1070 0.6531 1
O3 0.2267 0.4297 0.0196 1
F1 0.0000 0.4146 0.7500 1

***

Record 13
# PBE La3SeN2, optimized geometry
# **D(E_F)**: 8.4 states/eV/cell
# **Crystal system**: orthorhombic
# **Energy relative to the elements, uncorrected**: -1341 meV per atom
data_La3SeN2
_chemical_formula_sum 'La12 Se4 N8'
_space_group_name_H-M_alt 'C m c m'
_space_group_IT_number 63
_space_group_name_Hall '-C 2c 2'
_cell_length_a 9.6668
_cell_length_b 12.4246
_cell_length_c 6.0436
_cell_angle_alpha 90.00
_cell_angle_beta 90.00
_cell_angle_gamma 90.00
loop_
_atom_site_label
_atom_site_fract_x
_atom_site_fract_y
_atom_site_fract_z
_atom_site_occupancy
La1 0.0000 0.0860 0.2500 1
La2 0.1992 0.4159 0.2500 1
Se1 0.0000 0.3893 0.7500 1
N1 0.1622 0.0000 0.0000 1

***

Record 14
# PBE Dy4CoI5, optimized geometry
# **D(E_F)**: 11.8 states/eV/cell
# **Crystal system**: monoclinic
# **Energy relative to the elements, uncorrected**: -1029 meV per atom
data_Dy4CoI5
_chemical_formula_sum 'Dy8 Co2 I10'
_space_group_name_H-M_alt 'C 1 2/m 1'
_space_group_IT_number 12
_space_group_name_Hall '-C 2y'
_cell_length_a 19.4682
_cell_length_b 4.0502
_cell_length_c 8.8419
_cell_angle_alpha 90.00
_cell_angle_beta 102.56
_cell_angle_gamma 90.00
loop_
_atom_site_label
_atom_site_fract_x
_atom_site_fract_y
_atom_site_fract_z
_atom_site_occupancy
Dy1 0.9998 0.0000 0.1958 1
Dy2 0.1386 0.5000 0.0715 1
Co1 0.0000 0.5000 0.0000 1
I1 0.0000 0.5000 0.5000 1
I2 0.1671 0.0000 0.3442 1
I3 0.1761 0.0000 0.8291 1

***

Record 15
# PBE Tl2AgS2, optimized geometry
# **D(E_F)**: 2.7 states/eV/cell
# **Crystal system**: tetragonal
# **Energy relative to the elements, uncorrected**: 157 meV per atom
data_Tl2AgS2
_chemical_formula_sum 'Tl4 Ag2 S4'
_space_group_name_H-M_alt 'I 4/m m m'
_space_group_IT_number 139
_space_group_name_Hall '-I 4 2'
_cell_length_a 5.4182
_cell_length_b 5.4182
_cell_length_c 8.7946
_cell_angle_alpha 90.00
_cell_angle_beta 90.00
_cell_angle_gamma 90.00
loop_
_atom_site_label
_atom_site_fract_x
_atom_site_fract_y
_atom_site_fract_z
_atom_site_occupancy
Tl1 0.0000 0.0000 0.1643 1
Ag1 0.0000 0.0000 0.5000 1
S1 0.0000 0.5000 0.2500 1

***

Record 16
# PBE Pr3NdSm4S8, optimized geometry
# **D(E_F)**: 26.7 states/eV/cell
# **Crystal system**: trigonal
# **Energy relative to the elements, uncorrected**: -2020 meV per atom
data_Pr3NdSm4S8
_chemical_formula_sum 'Pr9 Nd3 Sm12 S24'
_space_group_name_H-M_alt 'R -3 m'
_space_group_IT_number 166
_space_group_name_Hall '-R 3 2"'
_cell_length_a 8.0948
_cell_length_b 8.0948
_cell_length_c 19.9317
_cell_angle_alpha 90.00
_cell_angle_beta 90.00
_cell_angle_gamma 120.00
loop_
_atom_site_label
_atom_site_fract_x
_atom_site_fract_y
_atom_site_fract_z
_atom_site_occupancy
Pr1 0.0000 0.5000 0.0000 1
Nd1 0.0000 0.0000 0.0000 1
Sm1 0.0000 0.0000 0.5000 1
Sm2 0.0000 0.5000 0.5000 1
S1 0.0000 0.0000 0.2469 1
S2 0.0015 0.5007 0.7528 1

***

Record 17
# PBE Pr6SbAs3Se2, optimized geometry
# **D(E_F)**: 8.3 states/eV/cell
# **Crystal system**: monoclinic
# **Energy relative to the elements, uncorrected**: -1601 meV per atom
data_Pr6SbAs3Se2
_chemical_formula_sum 'Pr12 Sb2 As6 Se4'
_space_group_name_H-M_alt 'C 1 2/m 1'
_space_group_IT_number 12
_space_group_name_Hall '-C 2y'
_cell_length_a 18.9594
_cell_length_b 4.3381
_cell_length_c 8.6996
_cell_angle_alpha 90.00
_cell_angle_beta 103.66
_cell_angle_gamma 90.00
loop_
_atom_site_label
_atom_site_fract_x
_atom_site_fract_y
_atom_site_fract_z
_atom_site_occupancy
Pr1 0.0011 0.0000 0.2394 1
Pr2 0.1641 0.5000 0.0894 1
Pr3 0.1710 0.5000 0.5789 1
Sb1 0.0000 0.5000 0.5000 1
As1 0.0000 0.5000 0.0000 1
As2 0.1662 0.0000 0.3318 1
Se1 0.1685 0.0000 0.8362 1

***

Record 18
# PBE Pr6GaP2Br3, optimized geometry
# **D(E_F)**: 12.2 states/eV/cell
# **Crystal system**: monoclinic
# **Energy relative to the elements, uncorrected**: -1305 meV per atom
data_Pr6GaP2Br3
_chemical_formula_sum 'Pr12 Ga2 P4 Br6'
_space_group_name_H-M_alt 'C 1 2/m 1'
_space_group_IT_number 12
_space_group_name_Hall '-C 2y'
_cell_length_a 19.2612
_cell_length_b 4.2194
_cell_length_c 8.8867
_cell_angle_alpha 90.00
_cell_angle_beta 106.77
_cell_angle_gamma 90.00
loop_
_atom_site_label
_atom_site_fract_x
_atom_site_fract_y
_atom_site_fract_z
_atom_site_occupancy
Pr1 0.0107 0.0000 0.2377 1
Pr2 0.1595 0.5000 0.1126 1
Pr3 0.1777 0.5000 0.5587 1
Ga1 0.0000 0.5000 0.0000 1
P1 0.1674 0.0000 0.3357 1
Br1 0.0000 0.5000 0.5000 1
Br2 0.1661 0.0000 0.8329 1

***

Record 19
# PBE In3AgPd6, optimized geometry
# **D(E_F)**: 12.6 states/eV/cell
# **Calculated formation energy**: -0.265 eV per atom
# **Crystal system**: orthorhombic
data_In3AgPd6
_chemical_formula_sum 'In12 Ag4 Pd24'
_space_group_name_H-M_alt 'C m c 21'
_space_group_IT_number 36
_space_group_name_Hall 'C 2c -2'
_cell_length_a 9.2549
_cell_length_b 15.1324
_cell_length_c 5.0721
_cell_angle_alpha 90.00
_cell_angle_beta 90.00
_cell_angle_gamma 90.00
loop_
_atom_site_label
_atom_site_fract_x
_atom_site_fract_y
_atom_site_fract_z
_atom_site_occupancy
In1 0.0000 0.1051 0.0000 1
In2 0.1706 0.3979 0.3452 1
Ag1 0.0000 0.2876 0.0300 1
Pd1 0.0000 0.2034 0.5422 1
Pd2 0.0000 0.4501 0.7954 1
Pd3 0.1619 0.0464 0.4325 1
Pd4 0.2497 0.2103 0.2397 1

***

Record 20
# PBE AlInCuPd, optimized geometry
# **D(E_F)**: 2.9 states/eV/cell
# **Calculated formation energy**: -0.294 eV per atom
# **Crystal system**: cubic
data_AlInCuPd
_chemical_formula_sum 'Al4 In4 Cu4 Pd4'
_space_group_name_H-M_alt 'F -4 3 m'
_space_group_IT_number 216
_space_group_name_Hall 'F -4 2 3'
_cell_length_a 6.3338
_cell_length_b 6.3338
_cell_length_c 6.3338
_cell_angle_alpha 90.00
_cell_angle_beta 90.00
_cell_angle_gamma 90.00
loop_
_atom_site_label
_atom_site_fract_x
_atom_site_fract_y
_atom_site_fract_z
_atom_site_occupancy
Al1 0.0000 0.0000 0.0000 1
In1 0.0000 0.0000 0.5000 1
Cu1 0.2500 0.2500 0.7500 1
Pd1 0.2500 0.2500 0.2500 1